Li6CePd12 PBE relaxed; V = 293.4 Å³/cell; SG = R-3; N(E_F) = 0.447 states/eV/atom; ΔE_f = -0.439 eV per atom
1.0
6.5431 0.0000 2.0976
-3.2528 6.0807 2.6439
0.0375 0.0000 7.3854
Ce Pd Li
1 12 6
direct
0.0000 0.0000 0.0000
0.4822 0.1621 0.7290
0.5178 0.8379 0.2710
0.2112 0.7290 0.1090
0.7332 0.5646 0.3679
0.3201 0.1090 0.1621
0.2668 0.4354 0.6321
0.8989 0.6321 0.9326
0.1685 0.0674 0.5646
0.1011 0.3679 0.0674
0.6799 0.8910 0.8379
0.7888 0.2710 0.8910
0.8315 0.9326 0.4354
0.0529 0.6956 0.5105
0.4365 0.4895 0.2061
0.3573 0.7939 0.6956
0.9471 0.3044 0.4895
0.6427 0.2061 0.3044
0.5635 0.5105 0.7939